# Ag2BiAu2 PBE-GGA relaxed
# **Offset from the most stable computed form**: 67 meV/atom
# **Density**: 12.5 g/cm3
# **Formation energy from the elements**: 0.0750 eV per atom
# **Total moment**: 0.00 Bohr magnetons per cell
# **N(E_F)**: 0.422 states/eV per atom
data_Ag2BiAu2
_chemical_formula_sum 'Ag4 Bi2 Au4'
_space_group_name_H-M_alt 'I 4/m m m'
_space_group_IT_number 139
_space_group_name_Hall '-I 4 2'
_cell_length_a 3.975
_cell_length_b 3.975
_cell_length_c 13.794
_cell_angle_alpha 90.00
_cell_angle_beta 90.00
_cell_angle_gamma 90.00
loop_
_atom_site_label
_atom_site_type_symbol
_atom_site_fract_x
_atom_site_fract_y
_atom_site_fract_z
Ag1 Ag 0.000 0.500 0.250
Bi1 Bi 0.000 0.000 0.000
Au1 Au 0.000 0.000 0.399